La7PmY2 | GGA-PBE | optimized geometry

a = 12.2440 Å, b = 17.3071 Å, c = 3.5411 Å
α = 90.00°, β = 90.00°, γ = 90.00°
Space group Cmmm (No. 65)
Asymmetric unit:
La: 0.0000 0.0000 0.0000 x2
La: 0.0000 0.1782 0.5000 x4
La: 0.2425 0.1314 0.0000 x8
Pm: 0.0000 0.5000 0.5000 x2
Y: 0.0000 0.3334 0.0000 x4

* density of states at the Fermi level: 18.11 states/eV/f.u.
* ΔE to the lowest computed polymorph: 0.1862 eV/atom
* energy relative to the elements: 3.33 eV/f.u.